First-principles (GGA-PBE) data for a geometry-optimized BeRe2Hg structure, as listed in the Open Quantum Materials Database.

## Properties
As for the size of the total moment: 0.00 Bohr magnetons per cell. The symmetry is F-43m. Its theoretical density is 16.09 g/cm³. Its raw total energy is -26.1 eV per cell.

a = 4.3958 Å, b = 4.3958 Å, c = 4.3958 Å
α = 60.00°, β = 60.00°, γ = 60.00°
Last column: nearest neighbours and their distance in Å.
Positions (direct):
Be1 0.0000 0.0000 0.0000  4 Re 2.69, 4 Hg 2.69
Re1 0.5000 0.5000 0.5000  4 Re 2.69, 4 Hg 2.69
Re2 0.7500 0.7500 0.7500  4 Re 2.69, 4 Be 2.69
Hg1 0.2500 0.2500 0.2500  4 Re 2.69, 4 Be 2.69